A geometry-optimized LiNdGe2Pt2 structure. Source: Alexandria, functional PBE.

ρ: 10.24 g cm⁻³
energy of formation: -0.88 eV per atom

a = 4.3669 Å, b = 4.3669 Å, c = 6.7403 Å
α = 90.00°, β = 90.00°, γ = 120.00°
Closest atoms and distances in Å follow each position.
Fractional coordinates of all 6 atoms:
Ge (0.6667, 0.3333, 0.6972)  4 Pt 2.52-2.67
Ge (0.3333, 0.6667, 0.3028)  4 Pt 2.52-2.67
Pt (0.6667, 0.3333, 0.3006)  4 Ge 2.52-2.67
Pt (0.3333, 0.6667, 0.6994)  4 Ge 2.52-2.67
Nd (0.0000, 0.0000, 0.0000)  6 Pt 3.23, 6 Ge 3.24, 2 Li 3.37
Li (0.0000, 0.0000, 0.5000)  6 Ge 2.85, 6 Pt 2.86



A geometry-optimized LiNdPuGe structure. Source: Alexandria, functional PBE.

ρ: 8.04 g cm⁻³
energy of formation: -0.21 eV per atom

a = 5.1509 Å, b = 5.1509 Å, c = 5.1509 Å
α = 60.00°, β = 60.00°, γ = 60.00°
Closest atoms and distances in Å follow each position.
Fractional coordinates of all 4 atoms:
Li (0.7500, 0.7500, 0.7500)  4 Pu 3.15, 4 Nd 3.15
Ge (0.2500, 0.2500, 0.2500)  4 Nd 3.15, 4 Pu 3.15
Nd (0.5000, 0.5000, 0.5000)  4 Ge 3.15, 4 Li 3.15
Pu (0.0000, 0.0000, 0.0000)  4 Li 3.15, 4 Ge 3.15



A geometry-optimized LiNdGe2Rh structure. Source: Alexandria, functional PBE.

ρ: 7.15 g cm⁻³
energy of formation: -0.72 eV per atom

a = 4.2014 Å, b = 4.2014 Å, c = 6.0346 Å
α = 110.37°, β = 110.37°, γ = 90.00°
Closest atoms and distances in Å follow each position.
Fractional coordinates of all 5 atoms:
Nd (0.0000, 0.0000, 0.0000)  8 Ge 3.23, 4 Li 3.36, 4 Rh 3.36
Rh (0.7500, 0.2500, 0.5000)  4 Ge 2.50
Li (0.2500, 0.7500, 0.5000)  4 Ge 2.50
Ge (0.3788, 0.3788, 0.7576)  2 Rh 2.50, 2 Li 2.50, 1 Ge 2.55
Ge (0.6212, 0.6212, 0.2424)  2 Li 2.50, 2 Rh 2.50, 1 Ge 2.55



A geometry-optimized LiNd2Ge2Rh5 structure. Source: Alexandria, functional PBE.

ρ: 8.93 g cm⁻³
energy of formation: -0.61 eV per atom

a = 3.5523 Å, b = 10.0021 Å, c = 10.0021 Å
α = 90.00°, β = 90.00°, γ = 90.00°
Closest atoms and distances in Å follow each position.
Fractional coordinates of all 20 atoms:
Rh (0.5000, 0.5663, 0.7096)  2 Ge 2.49
Li (0.0000, 0.0000, 0.0000)  8 Rh 2.83
Rh (0.5000, 0.5000, 0.0000)  4 Ge 2.51
Nd (0.0000, 0.1735, 0.3265)  3 Ge 2.84-3.03, 6 Rh 3.03-3.17
Rh (0.5000, 0.2096, 0.0663)  2 Ge 2.49
Ge (0.0000, 0.1258, 0.6258)  6 Rh 2.49-2.51
Rh (0.5000, 0.7904, 0.9337)  2 Ge 2.49
Ge (0.0000, 0.3742, 0.1258)  6 Rh 2.49-2.51
Rh (0.5000, 0.0663, 0.7904)  2 Ge 2.49
Rh (0.5000, 0.9337, 0.2096)  2 Ge 2.49
Rh (0.5000, 0.0000, 0.5000)  4 Ge 2.51
Li (0.0000, 0.5000, 0.5000)  8 Rh 2.83
Nd (0.0000, 0.8265, 0.6735)  3 Ge 2.84-3.03, 6 Rh 3.03-3.17
Ge (0.0000, 0.6258, 0.8742)  6 Rh 2.49-2.51
Nd (0.0000, 0.3265, 0.8265)  3 Ge 2.84-3.03, 6 Rh 3.03-3.17
Rh (0.5000, 0.4337, 0.2904)  2 Ge 2.49
Nd (0.0000, 0.6735, 0.1735)  3 Ge 2.84-3.03, 6 Rh 3.03-3.17
Ge (0.0000, 0.8742, 0.3742)  6 Rh 2.49-2.51
Rh (0.5000, 0.7096, 0.4337)  2 Ge 2.49
Rh (0.5000, 0.2904, 0.5663)  2 Ge 2.49



A geometry-optimized Li2NdGeS4 structure. Source: Alexandria, functional PBE.

ρ: 3.72 g cm⁻³
ΔE_f (raw): -26.475 kcal/mol of atoms

a = 7.6877 Å, b = 7.6877 Å, c = 7.9187 Å
α = 121.01°, β = 121.01°, γ = 89.94°
Closest atoms and distances in Å follow each position.
Fractional coordinates of all 16 atoms:
Li (0.5000, 0.0000, 0.5000)  6 S 2.63-2.65
S (0.7417, 0.7585, 0.9820)  2 Ge 2.62, 3 Li 2.63-2.83, 1 Nd 2.81
S (0.2564, 0.7702, 0.0133)  1 Ge 2.64, 3 Li 2.65-2.79, 2 Nd 2.79
Li (0.5000, 0.0000, 0.0000)  6 S 2.63-2.65
S (0.2583, 0.2415, 0.0180)  2 Ge 2.62, 3 Li 2.63-2.83, 1 Nd 2.81
Li (0.5000, 0.5000, 0.0000)  6 S 2.79-2.83
S (0.7298, 0.2436, 0.4867)  1 Ge 2.64, 3 Li 2.65-2.79, 2 Nd 2.79
Nd (0.0000, 0.5000, 0.5000)  6 S 2.79-2.81
Ge (0.0000, 0.0000, 0.0000)  6 S 2.62-2.64
S (0.7436, 0.2298, 0.9867)  1 Ge 2.64, 3 Li 2.65-2.79, 2 Nd 2.79
S (0.2585, 0.2417, 0.4820)  2 Ge 2.62, 3 Li 2.63-2.83, 1 Nd 2.81
S (0.7415, 0.7583, 0.5180)  2 Ge 2.62, 3 Li 2.63-2.83, 1 Nd 2.81
Li (0.0000, 0.0000, 0.5000)  6 S 2.79-2.83
S (0.2702, 0.7564, 0.5133)  1 Ge 2.64, 3 Li 2.65-2.79, 2 Nd 2.79
Nd (0.0000, 0.5000, 0.0000)  6 S 2.79-2.81
Ge (0.5000, 0.5000, 0.5000)  6 S 2.62-2.64



A geometry-optimized LiNdScGe structure. Source: Alexandria, functional PBE.

ρ: 5.15 g cm⁻³
energy of formation: -0.41 eV per atom

a = 4.9673 Å, b = 4.9673 Å, c = 4.9673 Å
α = 60.00°, β = 60.00°, γ = 60.00°
Closest atoms and distances in Å follow each position.
Fractional coordinates of all 4 atoms:
Nd (0.7500, 0.7500, 0.7500)  4 Ge 3.04, 4 Li 3.04
Li (0.0000, 0.0000, 0.0000)  4 Nd 3.04, 4 Sc 3.04
Sc (0.2500, 0.2500, 0.2500)  4 Li 3.04, 4 Ge 3.04
Ge (0.5000, 0.5000, 0.5000)  4 Sc 3.04, 4 Nd 3.04



A geometry-optimized SrLi2Nd2Ge2 structure. Source: Alexandria, functional PBE.

ρ: 4.93 g cm⁻³
energy of formation: -0.48 eV per atom

a = 4.6804 Å, b = 4.6804 Å, c = 9.8816 Å
α = 76.30°, β = 76.30°, γ = 60.00°
Closest atoms and distances in Å follow each position.
Fractional coordinates of all 7 atoms:
Li (0.5903, 0.5903, 0.2291)  3 Ge 2.70
Sr (0.0000, 0.0000, 0.0000)  6 Li 3.47, 6 Ge 3.53, 2 Nd 3.68
Li (0.4097, 0.4097, 0.7709)  3 Ge 2.70
Ge (0.7464, 0.7464, 0.7607)  3 Li 2.70
Nd (0.8709, 0.8709, 0.3873)  3 Ge 3.05, 3 Li 3.09
Nd (0.1291, 0.1291, 0.6127)  3 Ge 3.05, 3 Li 3.09
Ge (0.2536, 0.2536, 0.2393)  3 Li 2.70



A geometry-optimized LiTbNdGe structure. Source: Alexandria, functional PBE.

ρ: 6.70 g cm⁻³
energy of formation: -0.42 eV per atom

a = 5.1203 Å, b = 5.1203 Å, c = 5.1203 Å
α = 60.00°, β = 60.00°, γ = 60.00°
Closest atoms and distances in Å follow each position.
Fractional coordinates of all 4 atoms:
Tb (0.0000, 0.0000, 0.0000)  4 Ge 3.14, 4 Li 3.14
Nd (0.5000, 0.5000, 0.5000)  4 Ge 3.14, 4 Li 3.14
Ge (0.7500, 0.7500, 0.7500)  4 Nd 3.14, 4 Tb 3.14
Li (0.2500, 0.2500, 0.2500)  4 Tb 3.14, 4 Nd 3.14



| no. | DFT total energy (eV/atom) |
| --- | --- |
| 1 | -5.545 |
| 2 | -6.618 |
| 3 | -5.375 |
| 4 | -6.351 |
| 5 | -4.863 |
| 6 | -4.817 |
| 7 | -3.945 |
| 8 | -4.400 |